(1)
Material: NaAlTe3
Method: DFT, PBE
State: relaxed

The structure belongs to space group Pm-3m (No. 221); the cell edges are 5.565, 5.565 and 5.565 Å and the angles 90.00°, 90.00° and 90.00°. Symmetry generates all atoms from Na at (0.000, 0.000, 0.000), Al at (0.500, 0.500, 0.500) and Te at (0.000, 0.000, 0.500).

The excess energy over the best structure of this formula in the dataset comes out at 1113 meV/atom. The formation energy without anion corrections is 13.58 kcal/mol of atoms.

***

(2)
Material: ScMn2V2
Method: DFT, PBE
State: relaxed

The structure belongs to space group I4/mmm (No. 139); the cell edges are 3.996, 3.996 and 9.584 Å and the angles 90.00°, 90.00° and 90.00°. Symmetry generates all atoms from Sc at (0.000, 0.000, 0.000), Mn at (0.000, 0.500, 0.250) and V at (0.000, 0.000, 0.370).

The excess energy over the best structure of this formula in the dataset comes out at 136 meV/atom. Its formation energy is 5.6 kcal/mol of atoms.

***

(3)
Material: KCo4P
Method: DFT, PBE
State: relaxed

The structure belongs to space group F-43m (No. 216); the cell edges are 7.055, 7.055 and 7.055 Å and the angles 90.00°, 90.00° and 90.00°. Symmetry generates all atoms from K at (0.000, 0.000, 0.000), Co at (0.124, 0.124, 0.376) and P at (0.250, 0.250, 0.750).

Its formation energy is 16.6 kcal/mol of atoms.

***

(4)
Material: Ti3PtN
Method: DFT, PBE
State: relaxed

The structure belongs to space group P4mm (No. 99); the cell edges are 3.961, 3.961 and 6.194 Å and the angles 90.00°, 90.00° and 90.00°. Symmetry generates all atoms from Ti at (0.000, 0.000, 0.000), Ti at (0.000, 0.500, 0.674), Pt at (0.000, 0.000, 0.405) and N at (0.500, 0.500, 0.756).

The formation energy without anion corrections is -3.03 kcal/mol of atoms.

***

(5)
Material: RbRe
Method: DFT, PBE
State: relaxed

The structure belongs to space group I-43m (No. 217); the cell edges are 10.647, 10.647 and 10.647 Å and the angles 90.00°, 90.00° and 90.00°. Symmetry generates all atoms from Rb at (0.217, 0.217, 0.217) and Re at (0.080, 0.080, 0.920).

The excess energy over the best structure of this formula in the dataset comes out at 1051 meV/atom. Its formation energy is 40.8 kcal/mol of atoms.

***

(6)
Material: Dy8Hg2Rh3
Method: DFT, PBE
State: relaxed

The structure belongs to space group P2/m (No. 10); the cell edges are 8.629, 4.936 and 8.643 Å and the angles 90.00°, 109.94° and 90.00°. Symmetry generates all atoms from Dy at (0.116, 0.000, 0.384), Dy at (0.137, 0.500, 0.870), Dy at (0.369, 0.500, 0.637), Dy at (0.383, 0.000, 0.117), Hg at (0.245, 0.500, 0.256), Rh at (0.249, 0.000, 0.749) and Rh at (0.500, 0.500, 0.000).

Its formation energy is -11.2 kcal/mol of atoms.

***

(7)
Material: Li2CaPmAu4
Method: DFT, PBE
State: relaxed

The structure belongs to space group R-3m (No. 166, hexagonal axes); the cell edges are 4.6009, 4.6009 and 28.1700 Å and the angles 90.00°, 90.00° and 120.00°. Symmetry generates all atoms from Li at (0.0000, 0.0000, 0.2480), Ca at (0.0000, 0.0000, 0.5000), Pm at (0.0000, 0.0000, 0.0000), Au at (0.0000, 0.0000, 0.1086) and Au at (0.0000, 0.0000, 0.3905).

Its formation energy is -15.6 kcal/mol of atoms.

***

(8)
Material: KCdF3
Method: DFT, PBE
State: relaxed

The structure belongs to space group Pnma (No. 62); the cell edges are 6.294, 8.784 and 6.173 Å and the angles 90.00°, 90.00° and 90.00°. Symmetry generates all atoms from K at (0.043, 0.250, 0.011), Cd at (0.000, 0.000, 0.500), F at (0.028, 0.750, 0.417) and F at (0.209, 0.544, 0.792).

The formation energy without anion corrections is -56.83 kcal/mol of atoms.

***

(9)
Material: RbCuGe2Te
Method: DFT, PBE
State: relaxed

The structure belongs to space group P4/mmm (No. 123); the cell edges are 5.761, 5.761 and 6.206 Å and the angles 90.00°, 90.00° and 90.00°. Symmetry generates all atoms from Rb at (0.000, 0.000, 0.000), Cu at (0.500, 0.500, 0.500), Ge at (0.000, 0.500, 0.000) and Te at (0.000, 0.000, 0.500).

The formation energy without anion corrections is 40.05 kcal/mol of atoms.

***

(10)
Material: SrAs2
Method: DFT, PBE
State: relaxed

The structure belongs to space group C2/m (No. 12); the cell edges are 11.392, 4.171 and 7.266 Å and the angles 90.00°, 96.60° and 90.00°. Symmetry generates all atoms from Sr at (0.114, 0.000, 0.316), As at (0.099, 0.500, 0.652) and As at (0.179, 0.500, 0.980).

Its formation energy is -15.8 kcal/mol of atoms.

***

(11)
Material: ErZnNiSn
Method: DFT, PBE
State: relaxed

The structure belongs to space group F-43m (No. 216); the cell edges are 6.635, 6.635 and 6.635 Å and the angles 90.00°, 90.00° and 90.00°. Symmetry generates all atoms from Er at (0.000, 0.000, 0.000), Zn at (0.250, 0.250, 0.250), Ni at (0.250, 0.250, 0.750) and Sn at (0.000, 0.000, 0.500).

Its formation energy is -8.5 kcal/mol of atoms.

***

(12)
Material: K2CaZn
Method: DFT, PBE
State: relaxed

The structure belongs to space group R-3m (No. 166, hexagonal axes); the cell edges are 4.1305, 4.1305 and 37.4422 Å and the angles 90.00°, 90.00° and 120.00°. Symmetry generates all atoms from K at (0.0000, 0.0000, 0.2361), Ca at (0.0000, 0.0000, 0.0000) and Zn at (0.0000, 0.0000, 0.5000).

Its formation energy is 5.2 kcal/mol of atoms.

***

(13)
Material: BaCd5Sn2
Method: DFT, PBE
State: relaxed

The structure belongs to space group Immm (No. 71); the cell edges are 4.677, 8.352 and 11.405 Å and the angles 90.00°, 90.00° and 90.00°. Symmetry generates all atoms from Ba at (0.000, 0.000, 0.000), Cd at (0.000, 0.186, 0.369), Cd at (0.000, 0.500, 0.000) and Sn at (0.000, 0.500, 0.255).

Its formation energy is -4.7 kcal/mol of atoms.

***

(14)
Material: Tm4ThZn5
Method: DFT, PBE
State: relaxed

The structure belongs to space group P4/mmm (No. 123); the cell edges are 3.533, 3.533 and 17.912 Å and the angles 90.00°, 90.00° and 90.00°. Symmetry generates all atoms from Tm at (0.000, 0.000, 0.098), Tm at (0.000, 0.000, 0.293), Th at (0.000, 0.000, 0.500), Zn at (0.500, 0.500, 0.000), Zn at (0.500, 0.500, 0.196) and Zn at (0.500, 0.500, 0.387).

Its formation energy is -7.2 kcal/mol of atoms.

***

(15)
Material: Ac4AlSe3
Method: DFT, PBE
State: relaxed

The structure belongs to space group I4/mmm (No. 139); the cell edges are 6.408, 6.408 and 12.888 Å and the angles 90.00°, 90.00° and 90.00°. Symmetry generates all atoms from Ac at (0.000, 0.000, 0.249), Ac at (0.000, 0.500, 0.000), Al at (0.000, 0.000, 0.500), Se at (0.000, 0.000, 0.000) and Se at (0.000, 0.500, 0.250).

The formation energy without anion corrections is -33.88 kcal/mol of atoms.

***

(16)
Material: Ac2TbCe
Method: DFT, PBE
State: relaxed

The structure belongs to space group P4/mmm (No. 123); the cell edges are 3.783, 3.783 and 10.457 Å and the angles 90.00°, 90.00° and 90.00°. Symmetry generates all atoms from Ac at (0.000, 0.000, 0.249), Tb at (0.500, 0.500, 0.500) and Ce at (0.500, 0.500, 0.000).

The excess energy over the best structure of this formula in the dataset comes out at 0 meV/atom. Its formation energy is 2.6 kcal/mol of atoms.

***

(17)
Material: InB3N
Method: DFT, PBE
State: relaxed

The structure belongs to space group Pm-3m (No. 221); the cell edges are 4.538, 4.538 and 4.538 Å and the angles 90.00°, 90.00° and 90.00°. Symmetry generates all atoms from In at (0.000, 0.000, 0.000), B at (0.000, 0.000, 0.500) and N at (0.500, 0.500, 0.500).

The excess energy over the best structure of this formula in the dataset comes out at 1348 meV/atom. The formation energy without anion corrections is 75.22 kcal/mol of atoms.

***

(18)
Material: Ca5Ni3
Method: DFT, PBE
State: relaxed

The structure belongs to space group P6_3/mcm (No. 193); the cell edges are 8.4256, 8.4256 and 6.4443 Å and the angles 90.00°, 90.00° and 120.00°. Symmetry generates all atoms from Ca at (0.0000, 0.2595, 0.2500), Ca at (0.3333, 0.6667, 0.0000) and Ni at (0.0000, 0.3949, 0.7500).

Its formation energy is -0.7 kcal/mol of atoms.

***

(19)
Material: Ba2BeMo
Method: DFT, PBE
State: relaxed

The structure belongs to space group I-42d (No. 122); the cell edges are 4.498, 4.498 and 21.857 Å and the angles 90.00°, 90.00° and 90.00°. Symmetry generates all atoms from Ba at (0.250, 0.250, 0.125), Be at (0.000, 0.000, 0.000) and Mo at (0.000, 0.000, 0.500).

Its formation energy is 36.4 kcal/mol of atoms.

***

(20)
Material: MgRe2Hg
Method: DFT, PBE
State: relaxed

The structure belongs to space group R-3m (No. 166, hexagonal axes); the cell edges are 2.8489, 2.8489 and 28.8684 Å and the angles 90.00°, 90.00° and 120.00°. Symmetry generates all atoms from Mg at (0.0000, 0.0000, 0.0000), Re at (0.0000, 0.0000, 0.2520) and Hg at (0.0000, 0.0000, 0.5000).

The excess energy over the best structure of this formula in the dataset comes out at 477 meV/atom. Its formation energy is 15.3 kcal/mol of atoms.

***

(21)
Material: ThTcGe3Mo
Method: DFT, PBE
State: relaxed

The structure belongs to space group Cmcm (No. 63); the cell edges are 7.982, 10.862 and 5.967 Å and the angles 90.00°, 90.00° and 90.00°. Symmetry generates all atoms from Th at (0.000, 0.246, 0.250), Tc at (0.000, 0.026, 0.750), Ge at (0.000, 0.243, 0.750), Ge at (0.248, 0.000, 0.000) and Mo at (0.000, 0.461, 0.750).

Its formation energy is -1.1 kcal/mol of atoms.

***

(22)
Material: HgSb2W
Method: DFT, PBE
State: relaxed

The structure belongs to space group Cmmm (No. 65); the cell edges are 3.604, 5.056 and 10.984 Å and the angles 90.00°, 90.00° and 90.00°. Symmetry generates all atoms from Hg at (0.000, 0.000, 0.000), Sb at (0.000, 0.500, 0.304) and W at (0.000, 0.000, 0.500).

The formation energy without anion corrections is 9.88 kcal/mol of atoms.

***

(23)
Material: Tb5Er2Sc
Method: DFT, PBE
State: relaxed

The structure belongs to space group I4/mcm (No. 140); the cell edges are 8.946, 8.946 and 12.274 Å and the angles 90.00°, 90.00° and 90.00°. Symmetry generates all atoms from Tb at (0.000, 0.000, 0.000), Tb at (0.152, 0.348, 0.165), Er at (0.143, 0.357, 0.500) and Sc at (0.000, 0.000, 0.250).

The excess energy over the best structure of this formula in the dataset comes out at 75 meV/atom. Its formation energy is 2.4 kcal/mol of atoms.

***

(24)
Material: ScZnO2F
Method: DFT, PBE
State: relaxed

The structure belongs to space group P4/mmm (No. 123); the cell edges are 4.110, 4.110 and 3.942 Å and the angles 90.00°, 90.00° and 90.00°. Symmetry generates all atoms from Sc at (0.000, 0.000, 0.000), Zn at (0.500, 0.500, 0.500), O at (0.000, 0.500, 0.000) and F at (0.000, 0.000, 0.500).

The formation energy without anion corrections is -47.71 kcal/mol of atoms.